(1)
# In2N2O | Alexandria | GGA-PBE | relaxed
data_In2N2O
_symmetry_space_group_name_H-M 'P 1'
_symmetry_Int_Tables_number 1
_symmetry_space_group_name_Hall 'P 1'
_cell_length_a 6.465
_cell_length_b 6.465
_cell_length_c 6.484
_cell_angle_alpha 90.00
_cell_angle_beta 90.00
_cell_angle_gamma 90.00
loop_
_atom_site_label
_atom_site_type_symbol
_atom_site_fract_x
_atom_site_fract_y
_atom_site_fract_z
_atom_site_occupancy
In1 In 0.175 0.325 0.000 1
In2 In 0.325 0.825 0.000 1
In3 In 0.675 0.175 0.000 1
In4 In 0.825 0.675 0.000 1
N1 N 0.061 0.439 0.500 1
N2 N 0.439 0.939 0.500 1
N3 N 0.561 0.061 0.500 1
N4 N 0.939 0.561 0.500 1
O1 O 0.000 0.000 0.000 1
O2 O 0.500 0.500 0.000 1
# V (Å³/f.u.): 135.49
# Raw formation energy (meV/atom): -112
# Space group: No. 127
# Calculated total energy (eV/f.u.): -27.65

---

(2)
# FeCoOs2 | Alexandria | GGA-PBE | relaxed
data_FeCoOs2
_symmetry_space_group_name_H-M 'P 1'
_symmetry_Int_Tables_number 1
_symmetry_space_group_name_Hall 'P 1'
_cell_length_a 4.478
_cell_length_b 4.478
_cell_length_c 4.478
_cell_angle_alpha 130.88
_cell_angle_beta 130.88
_cell_angle_gamma 72.00
loop_
_atom_site_label
_atom_site_type_symbol
_atom_site_fract_x
_atom_site_fract_y
_atom_site_fract_z
_atom_site_occupancy
Fe1 Fe 0.000 0.000 0.000 1
Co1 Co 0.500 0.500 0.000 1
Os1 Os 0.250 0.750 0.500 1
Os2 Os 0.750 0.250 0.500 1
# DFT formation energy (meV/atom): 164
# V (Å³/f.u.): 50.20
# Space group: No. 139
# Calculated total energy (eV/f.u.): -37.37

---

(3)
# KFe2P | Alexandria | GGA-PBE | relaxed
data_KFe2P
_symmetry_space_group_name_H-M 'P 1'
_symmetry_Int_Tables_number 1
_symmetry_space_group_name_Hall 'P 1'
_cell_length_a 5.753
_cell_length_b 5.753
_cell_length_c 5.753
_cell_angle_alpha 151.96
_cell_angle_beta 124.18
_cell_angle_gamma 63.61
loop_
_atom_site_label
_atom_site_type_symbol
_atom_site_fract_x
_atom_site_fract_y
_atom_site_fract_z
_atom_site_occupancy
K1 K 0.000 0.000 0.000 1
Fe1 Fe 0.311 0.811 0.500 1
Fe2 Fe 0.689 0.189 0.500 1
P1 P 0.500 0.500 0.000 1
# DFT formation energy (meV/atom): 593
# V (Å³/f.u.): 73.38
# Space group: No. 71
# Calculated total energy (eV/f.u.): -21.06

---

(4)
# NaGaTc2O8 | Alexandria | GGA-PBE | relaxed
data_NaGaTc2O8
_symmetry_space_group_name_H-M 'P 1'
_symmetry_Int_Tables_number 1
_symmetry_space_group_name_Hall 'P 1'
_cell_length_a 5.252
_cell_length_b 5.252
_cell_length_c 7.080
_cell_angle_alpha 90.56
_cell_angle_beta 90.56
_cell_angle_gamma 66.96
loop_
_atom_site_label
_atom_site_type_symbol
_atom_site_fract_x
_atom_site_fract_y
_atom_site_fract_z
_atom_site_occupancy
Na1 Na 0.000 0.000 0.000 1
Ga1 Ga 0.000 0.000 0.500 1
Tc1 Tc 0.363 0.363 0.731 1
Tc2 Tc 0.637 0.637 0.269 1
O1 O 0.217 0.736 0.707 1
O2 O 0.225 0.225 0.542 1
O3 O 0.264 0.783 0.293 1
O4 O 0.273 0.273 0.948 1
O5 O 0.727 0.727 0.052 1
O6 O 0.736 0.217 0.707 1
O7 O 0.775 0.775 0.458 1
O8 O 0.783 0.264 0.293 1
# V (Å³/f.u.): 179.74
# Raw formation energy (meV/atom): -1453
# Space group: No. 12
# Calculated total energy (eV/f.u.): -82.18

---

(5)
# CsBaCa2Rh | Alexandria | GGA-PBE | relaxed
data_CsBaCa2Rh
_symmetry_space_group_name_H-M 'P 1'
_symmetry_Int_Tables_number 1
_symmetry_space_group_name_Hall 'P 1'
_cell_length_a 5.825
_cell_length_b 5.825
_cell_length_c 6.273
_cell_angle_alpha 90.00
_cell_angle_beta 90.00
_cell_angle_gamma 90.00
loop_
_atom_site_label
_atom_site_type_symbol
_atom_site_fract_x
_atom_site_fract_y
_atom_site_fract_z
_atom_site_occupancy
Cs1 Cs 0.000 0.000 0.000 1
Ba1 Ba 0.500 0.500 0.000 1
Ca1 Ca 0.000 0.500 0.500 1
Ca2 Ca 0.500 0.000 0.500 1
Rh1 Rh 0.500 0.500 0.500 1
# DFT formation energy (meV/atom): -72
# V (Å³/f.u.): 212.87
# Space group: No. 123
# Calculated total energy (eV/f.u.): -14.49

---

(6)
# ClF | Alexandria | GGA-PBE | relaxed
data_ClF
_symmetry_space_group_name_H-M 'P 1'
_symmetry_Int_Tables_number 1
_symmetry_space_group_name_Hall 'P 1'
_cell_length_a 9.812
_cell_length_b 9.812
_cell_length_c 3.843
_cell_angle_alpha 90.00
_cell_angle_beta 90.00
_cell_angle_gamma 120.00
loop_
_atom_site_label
_atom_site_type_symbol
_atom_site_fract_x
_atom_site_fract_y
_atom_site_fract_z
_atom_site_occupancy
Cl1 Cl 0.167 0.828 0.250 1
Cl2 Cl 0.172 0.339 0.250 1
Cl3 Cl 0.339 0.167 0.750 1
Cl4 Cl 0.661 0.833 0.250 1
Cl5 Cl 0.828 0.661 0.750 1
Cl6 Cl 0.833 0.172 0.750 1
F1 F 0.128 0.481 0.250 1
F2 F 0.353 0.872 0.250 1
F3 F 0.481 0.353 0.750 1
F4 F 0.519 0.647 0.250 1
F5 F 0.647 0.128 0.750 1
F6 F 0.872 0.519 0.750 1
# V (Å³/f.u.): 53.41
# Raw formation energy (meV/atom): -279
# Space group: No. 176
# Calculated total energy (eV/f.u.): -4.28

---

(7)
# PmZnNiRh | Alexandria | GGA-PBE | relaxed
data_PmZnNiRh
_symmetry_space_group_name_H-M 'P 1'
_symmetry_Int_Tables_number 1
_symmetry_space_group_name_Hall 'P 1'
_cell_length_a 4.602
_cell_length_b 4.602
_cell_length_c 4.602
_cell_angle_alpha 60.00
_cell_angle_beta 60.00
_cell_angle_gamma 60.00
loop_
_atom_site_label
_atom_site_type_symbol
_atom_site_fract_x
_atom_site_fract_y
_atom_site_fract_z
_atom_site_occupancy
Pm1 Pm 0.000 0.000 0.000 1
Zn1 Zn 0.500 0.500 0.500 1
Ni1 Ni 0.750 0.750 0.750 1
Rh1 Rh 0.250 0.250 0.250 1
# DFT formation energy (meV/atom): -342
# V (Å³/f.u.): 68.92
# Space group: No. 216
# Calculated total energy (eV/f.u.): -20.53

---

(8)
# La2TmCo9 | Alexandria | GGA-PBE | relaxed
data_La2TmCo9
_symmetry_space_group_name_H-M 'P 1'
_symmetry_Int_Tables_number 1
_symmetry_space_group_name_Hall 'P 1'
_cell_length_a 8.911
_cell_length_b 8.911
_cell_length_c 8.911
_cell_angle_alpha 32.37
_cell_angle_beta 32.37
_cell_angle_gamma 32.37
loop_
_atom_site_label
_atom_site_type_symbol
_atom_site_fract_x
_atom_site_fract_y
_atom_site_fract_z
_atom_site_occupancy
La1 La 0.139 0.139 0.139 1
La2 La 0.861 0.861 0.861 1
Tm1 Tm 0.000 0.000 0.000 1
Co1 Co 0.081 0.575 0.575 1
Co2 Co 0.333 0.333 0.333 1
Co3 Co 0.425 0.425 0.919 1
Co4 Co 0.425 0.919 0.425 1
Co5 Co 0.500 0.500 0.500 1
Co6 Co 0.575 0.081 0.575 1
Co7 Co 0.575 0.575 0.081 1
Co8 Co 0.667 0.667 0.667 1
Co9 Co 0.919 0.425 0.425 1
# DFT formation energy (meV/atom): -92
# V (Å³/f.u.): 180.28
# Space group: No. 166
# Calculated total energy (eV/f.u.): -79.38

---

(9)
# PmTiZn2 | Alexandria | GGA-PBE | relaxed
data_PmTiZn2
_symmetry_space_group_name_H-M 'P 1'
_symmetry_Int_Tables_number 1
_symmetry_space_group_name_Hall 'P 1'
_cell_length_a 4.853
_cell_length_b 4.853
_cell_length_c 4.853
_cell_angle_alpha 60.00
_cell_angle_beta 60.00
_cell_angle_gamma 60.00
loop_
_atom_site_label
_atom_site_type_symbol
_atom_site_fract_x
_atom_site_fract_y
_atom_site_fract_z
_atom_site_occupancy
Pm1 Pm 0.000 0.000 0.000 1
Ti1 Ti 0.500 0.500 0.500 1
Zn1 Zn 0.250 0.250 0.250 1
Zn2 Zn 0.750 0.750 0.750 1
# DFT formation energy (meV/atom): -102
# V (Å³/f.u.): 80.81
# Space group: No. 225
# Calculated total energy (eV/f.u.): -15.60

---

(10)
# LiCu2 | Alexandria | GGA-PBE | relaxed
data_LiCu2
_symmetry_space_group_name_H-M 'P 1'
_symmetry_Int_Tables_number 1
_symmetry_space_group_name_Hall 'P 1'
_cell_length_a 5.992
_cell_length_b 5.992
_cell_length_c 5.992
_cell_angle_alpha 155.21
_cell_angle_beta 155.21
_cell_angle_gamma 35.34
loop_
_atom_site_label
_atom_site_type_symbol
_atom_site_fract_x
_atom_site_fract_y
_atom_site_fract_z
_atom_site_occupancy
Li1 Li 0.000 0.000 0.000 1
Cu1 Cu 0.328 0.328 0.000 1
Cu2 Cu 0.672 0.672 0.000 1
# DFT formation energy (meV/atom): -18
# V (Å³/f.u.): 37.78
# Space group: No. 139
# Calculated total energy (eV/f.u.): -10.16

---

(11)
# Ac2Dy7Er2 | Alexandria | GGA-PBE | relaxed
data_Ac2Dy7Er2
_symmetry_space_group_name_H-M 'P 1'
_symmetry_Int_Tables_number 1
_symmetry_space_group_name_Hall 'P 1'
_cell_length_a 8.177
_cell_length_b 8.177
_cell_length_c 6.199
_cell_angle_alpha 106.97
_cell_angle_beta 106.97
_cell_angle_gamma 89.92
loop_
_atom_site_label
_atom_site_type_symbol
_atom_site_fract_x
_atom_site_fract_y
_atom_site_fract_z
_atom_site_occupancy
Ac1 Ac 0.212 0.788 0.000 1
Ac2 Ac 0.788 0.212 0.000 1
Dy1 Dy 0.000 0.000 0.500 1
Dy2 Dy 0.061 0.595 0.338 1
Dy3 Dy 0.402 0.402 0.680 1
Dy4 Dy 0.405 0.939 0.662 1
Dy5 Dy 0.595 0.061 0.338 1
Dy6 Dy 0.598 0.598 0.320 1
Dy7 Dy 0.939 0.405 0.662 1
Er1 Er 0.252 0.252 0.076 1
Er2 Er 0.748 0.748 0.924 1
# DFT formation energy (meV/atom): 187
# V (Å³/f.u.): 377.64
# Space group: No. 12
# Calculated total energy (eV/f.u.): -47.50

---

Number 1: DOS(E_F) 1.05 states/eV/f.u.. Number 2: DOS(E_F) 4.99 states/eV/f.u.. Number 3: DOS(E_F) 5.35 states/eV/f.u.. Number 4: DOS(E_F) 7.85 states/eV/f.u.. Number 5: DOS(E_F) 4.31 states/eV/f.u.. Number 6: DOS(E_F) 0.00 states/eV/f.u.. Number 7: DOS(E_F) 2.38 states/eV/f.u.. Number 8: DOS(E_F) 17.27 states/eV/f.u.. Number 9: DOS(E_F) 4.17 states/eV/f.u.. Number 10: DOS(E_F) 0.74 states/eV/f.u.. Number 11: DOS(E_F) 17.27 states/eV/f.u..